Below is an optimized crystal structure of NpZnPb2O6, with properties calculated at the PBE-GGA level.

Unit cell a=5.8570 b=5.8960 c=10.1767 alpha=90.00 beta=125.10 gamma=90.00
Space group P2_1/c (No. 14)
Asymmetric unit:
Np1 0.0000 0.0000 0.0000
Zn1 0.5000 0.0000 0.5000
Pb1 0.2534 0.0313 0.7535
O1 0.1666 0.2191 0.4622
O2 0.2546 0.7055 0.4688
O3 0.3183 0.0190 0.2475

**E_form (uncorrected)**: -1.835 eV per atom
**Electronic total energy**: -139.47 eV for the cell shown

***

Below is an optimized crystal structure of Pm4Zn2Ir, with properties calculated at the PBE-GGA level.

Unit cell a=5.0873 b=5.0873 c=24.8203 alpha=90.00 beta=90.00 gamma=120.00
Space group R-3m (No. 166, hexagonal axes)
Asymmetric unit:
Pm1 0.0000 0.0000 0.1219
Pm2 0.0000 0.0000 0.3731
Zn1 0.0000 0.0000 0.2462
Ir1 0.0000 0.0000 0.0000

**Electronic total energy**: -97.44 eV for the cell shown
**E_form**: -0.296 eV per atom

***

Below is an optimized crystal structure of PmHfAlCu, with properties calculated at the PBE-GGA level.

Unit cell a=6.9498 b=6.9498 c=6.9498 alpha=90.00 beta=90.00 gamma=90.00
Space group F-43m (No. 216)
Asymmetric unit:
Pm1 0.0000 0.0000 0.0000
Hf1 0.0000 0.0000 0.5000
Al1 0.2500 0.2500 0.7500
Cu1 0.2500 0.2500 0.2500

**Electronic total energy**: -91.68 eV for the cell shown
**E_form**: -0.094 eV per atom

***

Below is an optimized crystal structure of Cs2Li2YBr6, with properties calculated at the PBE-GGA level.

Unit cell a=13.4169 b=8.1274 c=8.1449 alpha=90.00 beta=112.07 gamma=90.00
Space group C2/m (No. 12)
Asymmetric unit:
Cs1 0.2020 0.0000 0.1747
Li1 0.0709 0.5000 0.2767
Y1 0.0000 0.0000 0.5000
Br1 0.0389 0.2507 0.7716
Br2 0.2368 0.0000 0.6468

**E_form (uncorrected)**: -1.574 eV per atom
**Electronic total energy**: -78.71 eV for the cell shown

***

The following spin magnetization values (in μB/atom) correspond, in order, to the records above: 0.100, 0.000, 0.000, 0.089.